# NdSm2Bi2 | the Alexandria database | GGA-PBE | optimized geometry
# - DFT formation energy (eV/atom) = -0.48
data_NdSm2Bi2
_chemical_formula_sum 'Nd2 Sm4 Bi4'
_symmetry_space_group_name_H-M 'C 1 2/m 1'
_symmetry_Int_Tables_number 12
_symmetry_space_group_name_Hall '-C 2y'
_cell_length_a 7.471
_cell_length_b 6.225
_cell_length_c 7.671
_cell_angle_alpha 90.00
_cell_angle_beta 106.50
_cell_angle_gamma 90.00
loop_
_atom_site_label
_atom_site_type_symbol
_atom_site_fract_x
_atom_site_fract_y
_atom_site_fract_z
_atom_site_occupancy
Nd1 Nd 0.000 0.000 0.000 1
Sm1 Sm 0.000 0.251 0.500 1
Bi1 Bi 0.166 0.500 0.206 1


# Ac5SmZn6 | the Alexandria database | GGA-PBE | optimized geometry
# - DFT formation energy (eV/atom) = -0.25
data_Ac5SmZn6
_chemical_formula_sum 'Ac10 Sm2 Zn12'
_symmetry_space_group_name_H-M 'C 1 2/m 1'
_symmetry_Int_Tables_number 12
_symmetry_space_group_name_Hall '-C 2y'
_cell_length_a 9.455
_cell_length_b 16.390
_cell_length_c 5.466
_cell_angle_alpha 90.00
_cell_angle_beta 125.25
_cell_angle_gamma 90.00
loop_
_atom_site_label
_atom_site_type_symbol
_atom_site_fract_x
_atom_site_fract_y
_atom_site_fract_z
_atom_site_occupancy
Ac1 Ac 0.000 0.000 0.000 1
Ac2 Ac 0.000 0.166 0.500 1
Ac3 Ac 0.000 0.331 0.000 1
Sm1 Sm 0.000 0.500 0.500 1
Zn1 Zn 0.232 0.500 0.231 1
Zn2 Zn 0.240 0.339 0.740 1


# TbV2Cr | the Alexandria database | GGA-PBE | optimized geometry
# - DFT formation energy (eV/atom) = 0.39
data_TbV2Cr
_chemical_formula_sum 'Tb3 V6 Cr3'
_symmetry_space_group_name_H-M 'R -3 m'
_symmetry_Int_Tables_number 166
_symmetry_space_group_name_Hall '-R 3 2"'
_cell_length_a 4.0714
_cell_length_b 4.0714
_cell_length_c 15.5736
_cell_angle_alpha 90.00
_cell_angle_beta 90.00
_cell_angle_gamma 120.00
loop_
_atom_site_label
_atom_site_type_symbol
_atom_site_fract_x
_atom_site_fract_y
_atom_site_fract_z
_atom_site_occupancy
Tb1 Tb 0.0000 0.0000 0.0000 1
V1 V 0.0000 0.0000 0.2030 1
Cr1 Cr 0.0000 0.0000 0.5000 1


# PrTmCo | the Alexandria database | GGA-PBE | optimized geometry
# - energy above the lowest structure with this stoichiometry (eV per atom) = 0.139
# - DFT formation energy (eV/atom) = 0.01
data_PrTmCo
_chemical_formula_sum 'Pr4 Tm4 Co4'
_symmetry_space_group_name_H-M 'F -4 3 m'
_symmetry_Int_Tables_number 216
_symmetry_space_group_name_Hall 'F -4 2 3'
_cell_length_a 6.723
_cell_length_b 6.723
_cell_length_c 6.723
_cell_angle_alpha 90.00
_cell_angle_beta 90.00
_cell_angle_gamma 90.00
loop_
_atom_site_label
_atom_site_type_symbol
_atom_site_fract_x
_atom_site_fract_y
_atom_site_fract_z
_atom_site_occupancy
Pr1 Pr 0.000 0.000 0.000 1
Tm1 Tm 0.000 0.000 0.500 1
Co1 Co 0.250 0.250 0.250 1


# NiAsS2 | the Alexandria database | GGA-PBE | optimized geometry
# - raw formation energy (eV/atom) = -0.04
data_NiAsS2
_chemical_formula_sum 'Ni3 As3 S6'
_symmetry_space_group_name_H-M 'R -3 m'
_symmetry_Int_Tables_number 166
_symmetry_space_group_name_Hall '-R 3 2"'
_cell_length_a 3.3365
_cell_length_b 3.3365
_cell_length_c 22.3976
_cell_angle_alpha 90.00
_cell_angle_beta 90.00
_cell_angle_gamma 120.00
loop_
_atom_site_label
_atom_site_type_symbol
_atom_site_fract_x
_atom_site_fract_y
_atom_site_fract_z
_atom_site_occupancy
Ni1 Ni 0.0000 0.0000 0.0000 1
As1 As 0.0000 0.0000 0.5000 1
S1 S 0.0000 0.0000 0.3875 1


# CdNiP2 | the Alexandria database | GGA-PBE | optimized geometry
# - DFT formation energy (eV/atom) = 0.06
data_CdNiP2
_chemical_formula_sum 'Cd3 Ni3 P6'
_symmetry_space_group_name_H-M 'R 3 m'
_symmetry_Int_Tables_number 160
_symmetry_space_group_name_Hall 'R 3 -2"'
_cell_length_a 3.2255
_cell_length_b 3.2255
_cell_length_c 21.0959
_cell_angle_alpha 90.00
_cell_angle_beta 90.00
_cell_angle_gamma 120.00
loop_
_atom_site_label
_atom_site_type_symbol
_atom_site_fract_x
_atom_site_fract_y
_atom_site_fract_z
_atom_site_occupancy
Cd1 Cd 0.0000 0.0000 0.0000 1
Ni1 Ni 0.0000 0.0000 0.2363 1
P1 P 0.0000 0.0000 0.5036 1
P2 P 0.0000 0.0000 0.7735 1


# RbLa2In | the Alexandria database | GGA-PBE | optimized geometry
# - DFT formation energy (eV/atom) = 0.27
data_RbLa2In
_chemical_formula_sum 'Rb4 La8 In4'
_symmetry_space_group_name_H-M 'I -4 2 d'
_symmetry_Int_Tables_number 122
_symmetry_space_group_name_Hall 'I -4 2bw'
_cell_length_a 9.433
_cell_length_b 9.433
_cell_length_c 7.238
_cell_angle_alpha 90.00
_cell_angle_beta 90.00
_cell_angle_gamma 90.00
loop_
_atom_site_label
_atom_site_type_symbol
_atom_site_fract_x
_atom_site_fract_y
_atom_site_fract_z
_atom_site_occupancy
Rb1 Rb 0.000 0.000 0.000 1
La1 La 0.212 0.250 0.625 1
In1 In 0.000 0.000 0.500 1


# CaPOsCl2 | the Alexandria database | GGA-PBE | optimized geometry
# - energy above the lowest structure with this stoichiometry (eV per atom) = 1.028
# - raw formation energy (eV/atom) = 0.71
data_CaPOsCl2
_chemical_formula_sum 'Ca1 P1 Os1 Cl2'
_symmetry_space_group_name_H-M 'P 4/m m m'
_symmetry_Int_Tables_number 123
_symmetry_space_group_name_Hall '-P 4 2'
_cell_length_a 4.967
_cell_length_b 4.967
_cell_length_c 5.976
_cell_angle_alpha 90.00
_cell_angle_beta 90.00
_cell_angle_gamma 90.00
loop_
_atom_site_label
_atom_site_type_symbol
_atom_site_fract_x
_atom_site_fract_y
_atom_site_fract_z
_atom_site_occupancy
Ca1 Ca 0.000 0.000 0.000 1
P1 P 0.000 0.000 0.500 1
Os1 Os 0.500 0.500 0.500 1
Cl1 Cl 0.000 0.500 0.000 1